[1]
Computed, not measured: a geometry-optimized TlPd structure at the GGA-PBE level of DFT.

abc: 6.5492 8.2342 14.0601
angles: 90.00 90.00 90.00
Last column: nearest neighbours and their distance in Å.
Space group Fddd (No. 70, origin choice 2)
Asymmetric unit:
Tl (0.1250, 0.3118, 0.1250) (multiplicity 16)  4 Pd 2.76-2.91, 1 Tl 3.08
Pd (0.1250, 0.1250, 0.5287) (multiplicity 16)  3 Pd 2.71-2.75, 4 Tl 2.76-2.91

Output
Uncorrected energy   -3.749 eV per atom

***

[2]
Computed, not measured: a geometry-optimized TlPd structure at the GGA-PBE level of DFT.

abc: 5.5690 5.5690 5.5710
angles: 90.00 90.00 90.00
Last column: nearest neighbours and their distance in Å.
Space group P4_2/mnm (No. 136)
Asymmetric unit:
Tl (0.2034, 0.2034, 0.0000) (multiplicity 4)  6 Pd 2.79-2.90
Pd (0.1938, 0.1938, 0.5000) (multiplicity 4)  6 Tl 2.79-2.90, 1 Pd 3.05

Output
Uncorrected energy   -3.795 eV per atom

***

[3]
Computed, not measured: a geometry-optimized TlPd3 structure at the GGA-PBE level of DFT.

abc: 9.0264 9.0264 2.9627
angles: 90.00 90.00 120.00
Last column: nearest neighbours and their distance in Å.
Space group R-3m (No. 166, hexagonal axes)
Asymmetric unit:
Tl (0.0000, 0.0000, 0.0000) (multiplicity 3)  6 Pd 2.79, 2 Tl 2.96
Pd (0.0000, 0.5000, 0.0000) (multiplicity 9)  6 Pd 2.79-2.96, 2 Tl 2.79

Output
Uncorrected energy   -4.538 eV per atom

***

[4]
Computed, not measured: a geometry-optimized TlPd structure at the GGA-PBE level of DFT.

abc: 7.6574 7.6574 7.6574
angles: 90.00 90.00 90.00
Last column: nearest neighbours and their distance in Å.
Space group Pm-3n (No. 223)
Asymmetric unit:
Tl (0.0000, 0.2500, 0.5000) (multiplicity 6)  4 Pd 2.71
Pd (0.0000, 0.5000, 0.2500) (multiplicity 6)  4 Tl 2.71

Output
Uncorrected energy   -3.412 eV per atom

***

[5]
Computed, not measured: a geometry-optimized TlPd3 structure at the GGA-PBE level of DFT.

abc: 4.1816 4.1816 15.5697
angles: 90.00 90.00 90.00
Last column: nearest neighbours and their distance in Å.
Space group I4/mmm (No. 139)
Asymmetric unit:
Tl (0.0000, 0.0000, 0.1254) (multiplicity 4)  12 Pd 2.85-2.96
Pd (0.0000, 0.0000, 0.3743) (multiplicity 4)  8 Pd 2.85-2.86, 4 Tl 2.96
Pd (0.0000, 0.5000, 0.0000) (multiplicity 4)  4 Tl 2.86, 8 Pd 2.86-2.96
Pd (0.0000, 0.5000, 0.2500) (multiplicity 4)  8 Pd 2.85-2.96, 4 Tl 2.85

Output
Uncorrected energy   -4.698 eV per atom

***

[6]
Computed, not measured: a geometry-optimized TlPd structure at the GGA-PBE level of DFT.

abc: 8.5154 8.5154 4.5633
angles: 90.00 90.00 120.00
Last column: nearest neighbours and their distance in Å.
Space group P6_3/m (No. 176)
Asymmetric unit:
Tl (0.1928, 0.8054, 0.2500) (multiplicity 6)  6 Pd 2.85-3.00
Pd (0.1139, 0.5654, 0.7500) (multiplicity 6)  4 Pd 2.81-2.84, 6 Tl 2.85-3.00

Output
Uncorrected energy   -3.872 eV per atom

***

- Among the records above, which one has the highest uncorrected energy?
  number 4

***

- Which of these has the highest uncorrected energy?
  number 4

***

- What is the uncorrected energy in the sixth record?
  -3.872 eV per atom